First-principles (GGA-PBEsol) data for a relaxed structure of BaGa2B2O7, as listed in Alexandria via LeMat-Bulk.

Calculated values
DOS(E_F) = 0.000 states/eV/f.u.
size of the total moment = 0.00 μB per formula unit
uncorrected formation energy = -28.5 eV/f.u.
crystal system = orthorhombic

abc: 11.7433 8.7086 5.7983
angles: 90.00 90.00 90.00
Closest atoms and distances in Å follow each position.
Space group Cmcm (No. 63)
Unique sites:
Ba 0.0000 0.1939 0.2500 [4 per cell]  6 O 2.72-2.73
Ga 0.2090 0.0809 0.7500 [8 per cell]  4 O 1.84-1.88
B 0.1112 0.3937 0.7500 [8 per cell]  3 O 1.36-1.41
O 0.0000 0.3332 0.7500 [4 per cell]  2 B 1.41
O 0.1330 0.0000 0.0000 [8 per cell]  2 Ga 1.84
O 0.1330 0.4512 0.2500 [8 per cell]  1 B 1.37
O 0.1995 0.2928 0.7500 [8 per cell]  1 B 1.36

First-principles (GGA-PBEsol) data for a relaxed structure of BaSr3Pt, as listed in Alexandria via LeMat-Bulk.

Calculated values
DOS(E_F) = 7.542 states/eV/f.u.
ΔH_f (0 K) = 1282.0 meV/atom
size of the total moment = 0.00 μB per formula unit
distance to the lowest polymorph of the same formula = 1648.9 meV/atom
crystal system = cubic

abc: 5.7848 5.7848 5.7848
angles: 90.00 90.00 90.00
Closest atoms and distances in Å follow each position.
Space group Pm-3m (No. 221)
Unique sites:
Ba 0.0000 0.0000 0.0000 [1 per cell]  6 Sr 2.89
Sr 0.0000 0.0000 0.5000 [3 per cell]  2 Ba 2.89
Pt 0.5000 0.5000 0.5000 [1 per cell]  12 Sr 4.09

First-principles (GGA-PBEsol) data for a relaxed structure of TaNi2Ru, as listed in Alexandria via LeMat-Bulk.

Calculated values
DOS(E_F) = 5.706 states/eV/f.u.
ΔH_f (0 K) = -83.7 meV/atom
size of the total moment = 0.76 μB per formula unit
distance to the lowest polymorph of the same formula = 245.2 meV/atom
crystal system = cubic

abc: 5.9369 5.9369 5.9369
angles: 90.00 90.00 90.00
Closest atoms and distances in Å follow each position.
Space group F-43m (No. 216)
Unique sites:
Ta 0.0000 0.0000 0.0000 [4 per cell]  4 Ru 2.57, 4 Ni 2.57
Ni 0.0000 0.0000 0.5000 [4 per cell]  4 Ru 2.57, 4 Ni 2.57
Ni 0.2500 0.2500 0.7500 [4 per cell]  4 Ta 2.57, 4 Ni 2.57
Ru 0.2500 0.2500 0.2500 [4 per cell]  4 Ta 2.57, 4 Ni 2.57

First-principles (GGA-PBEsol) data for a relaxed structure of OsPtNO2, as listed in Alexandria via LeMat-Bulk.

Calculated values
DOS(E_F) = 3.254 states/eV/f.u.
size of the total moment = 3.82 μB per formula unit
uncorrected formation energy = 7.3 eV/f.u.
crystal system = tetragonal

abc: 4.0058 4.0058 3.7534
angles: 90.00 90.00 90.00
Closest atoms and distances in Å follow each position.
Space group P4/mmm (No. 123)
Unique sites:
Os 0.0000 0.0000 0.0000 [1 per cell]  8 O 2.74, 4 N 2.83
Pt 0.5000 0.5000 0.5000 [1 per cell]  2 N 1.88, 4 O 2.00
N 0.5000 0.5000 0.0000 [1 per cell]  2 Pt 1.88
O 0.0000 0.5000 0.5000 [2 per cell]  2 Pt 2.00

First-principles (GGA-PBEsol) data for a relaxed structure of ErAl3, as listed in Alexandria via LeMat-Bulk.

Calculated values
DOS(E_F) = 1.264 states/eV/f.u.
ΔH_f (0 K) = -434.0 meV/atom
size of the total moment = 0.00 μB per formula unit
crystal system = trigonal

abc: 6.0532 6.0532 21.0319
angles: 90.00 90.00 120.00
Closest atoms and distances in Å follow each position.
Space group R-3m (No. 166, hexagonal axes)
Unique sites:
Er 0.0000 0.0000 0.0000 [3 per cell]  12 Al 3.01-3.03
Er 0.0000 0.0000 0.2194 [6 per cell]  12 Al 2.97-3.03
Al 0.0000 0.5000 0.0000 [9 per cell]  8 Al 2.86-3.03, 4 Er 2.97-3.03
Al 0.0319 0.5159 0.2227 [18 per cell]  6 Al 2.74-2.86, 4 Er 2.98-3.03

First-principles (GGA-PBEsol) data for a relaxed structure of YAsNO2, as listed in Alexandria via LeMat-Bulk.

Calculated values
DOS(E_F) = 3.127 states/eV/f.u.
size of the total moment = 1.04 μB per formula unit
uncorrected formation energy = -1.0 eV/f.u.
crystal system = tetragonal

abc: 4.1994 4.1994 4.4563
angles: 90.00 90.00 90.00
Closest atoms and distances in Å follow each position.
Space group P4/mmm (No. 123)
Unique sites:
Y 0.0000 0.0000 0.0000 [1 per cell]  4 O 2.10, 2 N 2.23
As 0.5000 0.5000 0.5000 [1 per cell]  4 N 2.97, 8 O 3.06
N 0.0000 0.0000 0.5000 [1 per cell]  2 Y 2.23
O 0.0000 0.5000 0.0000 [2 per cell]  2 Y 2.10

The highest size of the total moment belongs to which entry? OsPtNO2